TiNi2F: optimized geometry, PBE with a Hubbard U.

* energy above the lowest structure with this stoichiometry: 0 meV per atom

a = 6.558 Å, b = 6.558 Å, c = 5.155 Å
α = 50.50°, β = 50.50°, γ = 90.00°
Sites, in units of the cell vectors:
1 Ni 0.607 0.125 0.250
2 Ni 0.143 0.625 0.250
3 Ni 0.375 0.393 0.750
4 Ni 0.875 0.857 0.750
5 F 0.500 0.500 0.000
6 F 0.250 0.750 0.500
7 Ti 0.000 0.000 0.000
8 Ti 0.750 0.250 0.500